(1)
# AlZnRe

A relaxed AlZnRe crystal (GGA-PBE, OQMD via LeMat-Bulk).

Polymorph energy (0 for the lowest one)   0.028 eV per atom
Space-group type   No. 216
Magnetization   0.83 Bohr magnetons per cell

```
AlZnRe
1.0
-3.530 -1.873 -1.078
-3.494 2.195 -0.317
-1.667 0.711 -3.721
Zn Al Re
1 1 1
direct
0.750 0.750 0.750
0.000 0.000 0.000
0.250 0.250 0.250
```



(2)
# CsAlRe2O8

A relaxed CsAlRe2O8 crystal (GGA-PBE, OQMD via LeMat-Bulk).

Space-group type   No. 164
Magnetization   2.00 Bohr magnetons per cell

```
CsAlRe2O8
1.0
5.573 0.000 0.000
-2.786 4.826 0.000
0.000 0.000 7.710
O Re Cs Al
8 2 1 1
direct
0.688 0.844 0.644
0.667 0.333 0.052
0.844 0.156 0.356
0.844 0.688 0.356
0.156 0.844 0.644
0.333 0.667 0.948
0.312 0.156 0.356
0.156 0.312 0.644
0.667 0.333 0.282
0.333 0.667 0.718
0.000 0.000 0.000
0.000 0.000 0.500
```



(3)
# PuIn

A relaxed PuIn crystal (GGA-PBE, OQMD via LeMat-Bulk).

Space-group type   No. 194
Magnetization   12.92 Bohr magnetons per cell

```
PuIn
1.0
5.022 0.000 0.000
-2.511 4.349 0.000
0.000 0.000 5.919
In Pu
2 2
direct
0.000 0.000 0.000
0.000 0.000 0.500
0.333 0.667 0.250
0.667 0.333 0.750
```



(4)
# SrSi2Ag

A relaxed SrSi2Ag crystal (GGA-PBE, OQMD via LeMat-Bulk).

Space-group type   No. 216

```
SrSi2Ag
1.0
0.000 3.494 3.494
3.494 0.000 3.494
3.494 3.494 0.000
Ag Si Sr
1 2 1
direct
0.750 0.750 0.750
0.250 0.250 0.250
0.500 0.500 0.500
0.000 0.000 0.000
```



(5)
# Cs2ZnSn3Se8

A relaxed Cs2ZnSn3Se8 crystal (GGA-PBE, OQMD via LeMat-Bulk).

Space-group type   No. 19

```
Cs2ZnSn3Se8
1.0
-1.822 -6.332 4.474
-6.202 -5.618 -10.478
16.054 -8.220 -5.095
Cs Se Sn Zn
8 32 12 4
direct
0.275 0.695 0.341
0.750 0.870 0.054
0.725 0.195 0.159
0.750 0.130 0.554
0.225 0.305 0.841
0.250 0.630 0.946
0.250 0.370 0.446
0.775 0.805 0.659
0.254 0.626 0.147
0.009 0.388 0.043
0.467 0.396 0.263
0.510 0.111 0.743
0.246 0.374 0.647
0.533 0.896 0.237
0.509 0.112 0.957
0.466 0.383 0.049
0.768 0.382 0.654
0.754 0.874 0.853
0.237 0.136 0.144
0.240 0.877 0.052
0.260 0.123 0.552
0.966 0.117 0.951
0.740 0.623 0.948
0.034 0.617 0.549
0.737 0.364 0.856
0.232 0.882 0.846
0.760 0.377 0.448
0.263 0.864 0.644
0.732 0.618 0.154
0.746 0.126 0.353
0.990 0.889 0.243
0.991 0.888 0.457
0.490 0.611 0.757
0.491 0.612 0.543
0.967 0.104 0.737
0.010 0.389 0.257
0.268 0.118 0.346
0.534 0.883 0.451
0.763 0.636 0.356
0.033 0.604 0.763
0.761 0.550 0.819
0.727 0.436 0.985
0.261 0.950 0.181
0.273 0.936 0.515
0.227 0.064 0.015
0.502 0.486 0.650
0.002 0.014 0.350
0.998 0.514 0.150
0.773 0.564 0.485
0.239 0.050 0.681
0.498 0.986 0.850
0.739 0.450 0.319
0.512 0.001 0.347
0.988 0.999 0.847
0.012 0.499 0.653
0.488 0.501 0.153
```



(6)
# Zr2O5

A relaxed Zr2O5 crystal (GGA-PBE, OQMD via LeMat-Bulk).

Space-group type   No. 8
Magnetization   1.99 Bohr magnetons per cell

```
Zr2O5
1.0
-3.164 -5.474 -0.176
-3.164 5.474 -0.176
1.974 0.000 -2.785
O Zr
5 2
direct
0.370 0.045 0.710
0.889 0.563 0.231
0.563 0.889 0.231
0.948 0.948 0.952
0.045 0.370 0.710
0.158 0.774 0.970
0.774 0.158 0.970
```



(7)
# CuAg2Sn

A relaxed CuAg2Sn crystal (GGA-PBE, OQMD via LeMat-Bulk).

Space-group type   No. 216

```
CuAg2Sn
1.0
0.000 3.300 3.300
3.300 0.000 3.300
3.300 3.300 0.000
Ag Cu Sn
2 1 1
direct
0.750 0.750 0.750
0.000 0.000 0.000
0.250 0.250 0.250
0.500 0.500 0.500
```



(8)
# ReO3

A relaxed ReO3 crystal (GGA-PBE, OQMD via LeMat-Bulk).

Space-group type   No. 221
Magnetization   0.00 Bohr magnetons per cell

```
ReO3
1.0
3.764 0.000 0.000
0.000 3.764 0.000
0.000 0.000 3.764
O Re
3 1
direct
0.000 0.000 0.500
0.500 0.000 0.000
0.000 0.500 0.000
0.000 0.000 0.000
```



(9)
# MgNbB

A relaxed MgNbB crystal (GGA-PBE, OQMD via LeMat-Bulk).

Space-group type   No. 216
Magnetization   0.00 Bohr magnetons per cell

```
MgNbB
1.0
-0.994 -3.813 0.008
-3.735 -1.064 -0.666
-0.967 -1.791 -3.374
Nb Mg B
1 1 1
direct
0.750 0.750 0.750
0.250 0.250 0.250
0.000 0.000 0.000
```



(10)
# HfFeCuB

A relaxed HfFeCuB crystal (GGA-PBE, OQMD via LeMat-Bulk).

Polymorph energy (0 for the lowest one)   0.234 eV per atom
Space-group type   No. 216
Magnetization   1.14 Bohr magnetons per cell

```
HfFeCuB
1.0
0.000 2.912 2.912
2.912 0.000 2.912
2.912 2.912 0.000
Hf B Fe Cu
1 1 1 1
direct
0.500 0.500 0.500
0.000 0.000 0.000
0.250 0.250 0.250
0.750 0.750 0.750
```



(11)
# Li4CuSn2Ir

A relaxed Li4CuSn2Ir crystal (GGA-PBE, OQMD via LeMat-Bulk).

Space-group type   No. 115
Magnetization   0.01 Bohr magnetons per cell

```
Li4CuSn2Ir
1.0
-4.412 -0.144 -0.406
-0.373 -0.805 4.343
-0.303 6.144 1.113
Li Sn Cu Ir
4 2 1 1
direct
0.500 0.500 0.000
0.000 0.500 0.750
0.000 0.000 0.500
0.500 0.000 0.250
0.500 0.000 0.746
0.000 0.500 0.254
0.000 0.000 0.000
0.500 0.500 0.500
```



(12)
# Y2Er3TmCuTe2

A relaxed Y2Er3TmCuTe2 crystal (GGA-PBE, OQMD via LeMat-Bulk).

Space-group type   No. 38
Magnetization   0.05 Bohr magnetons per cell

```
Y2Er3TmCuTe2
1.0
3.931 0.000 0.000
0.000 7.235 4.169
0.000 -7.235 4.169
Y Tm Er Te Cu
2 1 3 2 1
direct
0.000 0.597 0.000
0.000 0.000 0.597
0.000 0.402 0.402
0.500 0.242 0.000
0.500 0.758 0.758
0.500 0.000 0.242
0.500 0.666 0.333
0.500 0.333 0.666
0.000 0.000 0.000
```



| no. | total DFT energy (no corrections) (eV for the cell shown) |
| --- | --- |
| 1 | -15.38 |
| 2 | -90.50 |
| 3 | -32.93 |
| 4 | -14.42 |
| 5 | -209.99 |
| 6 | -58.87 |
| 7 | -13.11 |
| 8 | -33.60 |
| 9 | -17.70 |
| 10 | -27.21 |
| 11 | -31.09 |
| 12 | -46.88 |